# LaCeTc

LaCeTc after structural relaxation (GGA-PBE, the Alexandria database).

abc: 6.3353 6.3353 8.6008
angles: 126.67 126.67 36.66
Fractional coordinates of all 6 atoms:
La: 0.0778 0.0778 0.3520
La: 0.9222 0.9222 0.6480
Ce: 0.3002 0.3002 0.8795
Ce: 0.6998 0.6998 0.1205
Tc: 0.3494 0.3494 0.2960
Tc: 0.6506 0.6506 0.7040

## Properties
E_form   -0.234 eV per formula unit
Total moment   0.000 μB/atom